Computed, not measured: Pm6SmEr2 after structural relaxation at the PBE-GGA level of DFT.

Uncorrected energy: -0.345 Ry per atom
Energy above the lowest structure with this stoichiometry: 0.0 meV per atom
Size of the total moment: 0.000 μB/atom
Crystal system: triclinic
E_form: 0.0168 eV per atom

Structure (extended XYZ):
```
9
Lattice="3.598 0.298 0.268 -0.056 6.211 -6.315 0.814 0.618 12.960" Properties=species:S:1:pos:R:3 pbc="T T T"
Pm 3.351 3.841 -0.427
Pm 1.005 3.286 7.339
Pm 2.904 4.756 4.624
Pm 3.157 1.171 5.256
Pm 1.199 5.956 1.656
Pm 1.452 2.371 2.288
Sm 0.000 0.000 0.000
Er 1.648 5.026 -3.361
Er 2.708 2.101 10.274
```

Computed, not measured: Zr2RhCl after structural relaxation at the PBE-GGA level of DFT.

Uncorrected energy: -0.494 Ry per atom
Energy above the lowest structure with this stoichiometry: 585.1 meV per atom
Size of the total moment: 0.000 μB/atom
Crystal system: tetragonal
Formation energy (no corrections): -0.59 eV/f.u.

Structure (extended XYZ):
```
8
Lattice="-5.138 -1.292 -1.111 0.138 -3.833 3.820 -4.615 1.918 5.928" Properties=species:S:1:pos:R:3 pbc="T T T"
Rh 0.000 0.000 0.000
Rh -6.127 -0.968 3.086
Zr -4.349 -0.807 1.265
Zr -1.709 -2.078 3.731
Zr -5.337 -0.483 5.461
Zr -7.836 -3.047 6.817
Cl -2.500 -2.563 1.355
Cl -3.488 -2.239 5.551
```

Computed, not measured: Ba2SnBPt6 after structural relaxation at the PBE-GGA level of DFT.

Uncorrected energy: -0.419 Ry per atom
Size of the total moment: 0.000 μB/atom
Crystal system: trigonal
E_form: -0.6303 eV per atom

Structure (extended XYZ):
```
10
Lattice="6.082 -0.013 -0.007 0.014 7.348 -0.931 3.052 3.051 4.281" Properties=species:S:1:pos:R:3 pbc="T T T"
Ba 6.090 2.825 2.280
Ba 3.058 7.562 1.063
Sn 0.000 0.000 0.000
B 3.048 3.668 -0.469
Pt 3.051 3.886 1.684
Pt 4.677 5.084 -0.334
Pt 1.426 5.091 -0.330
Pt 7.723 5.295 3.673
Pt 4.472 5.302 3.676
Pt 6.098 6.500 1.659
```

Computed, not measured: Tc4Au after structural relaxation at the PBE-GGA level of DFT.

Uncorrected energy: -0.622 Ry per atom
Energy above the lowest structure with this stoichiometry: 328.0 meV per atom
Size of the total moment: 0.000 μB/atom
Crystal system: tetragonal
E_form: 0.4856 eV per atom

Structure (extended XYZ):
```
5
Lattice="4.213 -4.488 -0.059 3.472 -1.721 4.782 -5.811 1.246 -1.601" Properties=species:S:1:pos:R:3 pbc="T T T"
Tc 1.122 -3.173 0.351
Tc 2.989 -2.415 1.837
Tc 4.695 -3.794 2.886
Tc 0.751 -1.790 2.771
Au 0.000 0.000 0.000
```

Computed, not measured: Tb2Sm3DyHo6 after structural relaxation at the PBE-GGA level of DFT.

Uncorrected energy: -0.339 Ry per atom
Size of the total moment: 0.000 μB/atom
Crystal system: monoclinic
E_form: 0.0162 eV per atom

Structure (extended XYZ):
```
12
Lattice="6.162 0.001 0.004 -3.079 5.338 0.004 -1.031 -1.785 11.578" Properties=species:S:1:pos:R:3 pbc="T T T"
Tb 0.002 3.559 0.004
Tb 3.081 1.780 0.004
Sm -2.054 3.556 5.793
Sm 4.106 -0.002 5.793
Sm 1.026 1.777 5.793
Dy 0.000 0.000 0.000
Ho 3.078 1.774 8.713
Ho 2.056 3.560 2.879
Ho -1.026 1.779 2.874
Ho -0.002 3.553 8.713
Ho -0.004 -0.006 8.708
Ho 2.054 0.001 2.874
```

Computed, not measured: ZrScPd3 after structural relaxation at the PBE-GGA level of DFT.

Uncorrected energy: -0.503 Ry per atom
Energy above the lowest structure with this stoichiometry: 0.0 meV per atom
Size of the total moment: 0.000 μB/atom
Crystal system: monoclinic
E_form: -0.7461 eV per atom

Structure (extended XYZ):
```
10
Lattice="-2.789 -2.772 -0.685 3.845 -1.746 3.042 -4.860 3.106 7.218" Properties=species:S:1:pos:R:3 pbc="T T T"
Zr -4.140 -0.740 8.221
Zr 0.336 -0.672 1.354
Sc -3.485 -0.500 4.581
Sc -0.319 -0.913 4.995
Pd -1.468 0.754 2.927
Pd -2.336 -2.166 6.649
Pd 1.496 -2.355 3.438
Pd -5.301 0.942 6.138
Pd -2.421 0.774 6.726
Pd -1.383 -2.186 2.849
```

Computed, not measured: MnRu2Pb after structural relaxation at the PBE-GGA level of DFT.

Uncorrected energy: -0.547 Ry per atom
Size of the total moment: 0.810 μB/atom
Crystal system: monoclinic
E_form: 0.4206 eV per atom

Structure (extended XYZ):
```
4
Lattice="-3.958 -1.709 2.292 -2.148 -4.058 1.660 1.504 -0.055 4.511" Properties=species:S:1:pos:R:3 pbc="T T T"
Mn -2.403 -2.954 4.101
Pb -3.436 -4.351 6.337
Ru -6.001 -5.723 4.093
Ru -1.170 -1.471 2.116
```

Computed, not measured: TbNdEr4Tm2 after structural relaxation at the PBE-GGA level of DFT.

Uncorrected energy: -0.303 Ry per atom
Size of the total moment: 0.374 μB/atom
Crystal system: orthorhombic
E_form: 0.4447 eV per atom

Structure (extended XYZ):
```
16
Lattice="1.222 -1.217 -9.287 7.335 -5.754 1.519 -10.041 0.648 5.953" Properties=species:S:1:pos:R:3 pbc="T T T"
Tb -0.742 -3.161 -0.908
Tb -8.819 -0.569 -3.334
Nd 3.668 -2.877 0.759
Nd -0.131 -3.770 -5.551
Er 5.792 -4.621 -1.212
Er -2.283 -2.005 -3.629
Er 0.799 -4.318 1.813
Er -7.276 -1.701 -0.604
Er 6.417 -5.235 -5.782
Er 1.433 -4.922 -2.831
Er -2.917 -1.400 1.016
Er -7.901 -1.087 3.967
Tm 0.611 -0.609 -4.643
Tm -4.409 -0.285 -1.667
Tm -5.021 0.324 2.976
Tm 4.279 -3.485 -3.884
```

Computed, not measured: La3Mg4Sn4 after structural relaxation at the PBE-GGA level of DFT.

Uncorrected energy: -0.289 Ry per atom
Size of the total moment: 0.000 μB/atom
Crystal system: orthorhombic
E_form: -0.5495 eV per atom

Structure (extended XYZ):
```
11
Lattice="4.603 0.000 -1.267 -0.883 7.135 -3.207 0.061 -0.193 9.217" Properties=species:S:1:pos:R:3 pbc="T T T"
La 0.457 0.803 1.661
La 3.324 6.140 3.081
La -0.441 3.568 -1.604
Mg 1.437 0.842 5.220
Mg 2.687 3.338 0.764
Mg 2.345 6.100 -0.478
Mg 1.095 3.605 3.978
Sn 0.394 5.035 1.431
Sn 3.388 1.908 3.311
Sn 1.593 5.725 -3.207
Sn 2.127 1.410 -1.268
```

Computed, not measured: NdMgPd after structural relaxation at the PBE-GGA level of DFT.

Uncorrected energy: -0.318 Ry per atom
Size of the total moment: 0.000 μB/atom
Crystal system: hexagonal
E_form: -0.4721 eV per atom

Structure (extended XYZ):
```
3
Lattice="-0.536 2.463 2.824 -4.582 -0.013 -0.858 1.816 -3.059 3.013" Properties=species:S:1:pos:R:3 pbc="T T T"
Mg -0.089 0.410 0.471
Nd -2.807 0.614 2.315
Pd -0.406 -1.633 2.193
```

Computed, not measured: CaOsCl2 after structural relaxation at the PBE-GGA level of DFT.

Uncorrected energy: -0.316 Ry per atom
Energy above the lowest structure with this stoichiometry: 336.0 meV per atom
Size of the total moment: 0.196 μB/atom
Crystal system: orthorhombic
Formation energy (no corrections): -0.30 eV/f.u.

Structure (extended XYZ):
```
4
Lattice="-0.047 -3.053 0.679 1.573 -1.269 -5.599 4.112 0.184 1.114" Properties=species:S:1:pos:R:3 pbc="T T T"
Ca 2.843 -0.543 -2.243
Os 2.032 -1.434 0.896
Cl 0.000 0.000 0.000
Cl 0.763 -2.161 -2.460
```

Computed, not measured: BaCaMo after structural relaxation at the PBE-GGA level of DFT.

Uncorrected energy: -0.275 Ry per atom
Energy above the lowest structure with this stoichiometry: 208.9 meV per atom
Size of the total moment: 1.256 μB/atom
Crystal system: cubic
E_form: 1.1802 eV per atom

Structure (extended XYZ):
```
3
Lattice="-1.328 -4.949 2.110 1.309 -1.218 5.245 -3.985 -0.400 3.829" Properties=species:S:1:pos:R:3 pbc="T T T"
Mo -3.003 -4.925 8.388
Ca -2.002 -3.283 5.592
Ba 0.000 0.000 0.000
```

Among the records above, which one has the highest uncorrected energy?
BaCaMo